The following is a DFT calculation (PBE-GGA) of a relaxed structure of HfBe.

abc: 3.3444 4.0522 13.9484
angles: 90.00 90.00 90.00
Closest atoms and distances in Å follow each position.
Element x y z (fractional)
Hf: 0.5000 0.5000 0.6832  5 Be 2.74-2.77, 2 Hf 3.05
Hf: 0.0000 0.5000 0.5000  8 Be 2.63
Hf: 0.5000 0.0000 0.0000  8 Be 2.63
Hf: 0.0000 0.0000 0.1832  5 Be 2.74-2.77, 2 Hf 3.05
Hf: 0.0000 0.0000 0.8168  5 Be 2.74-2.77, 2 Hf 3.05
Hf: 0.5000 0.5000 0.3168  5 Be 2.74-2.77, 2 Hf 3.05
Be: 0.5000 0.0000 0.5000  4 Be 2.37, 4 Hf 2.63
Be: 0.5000 0.5000 0.8797  2 Be 2.37, 2 Hf 2.63
Be: 0.0000 0.5000 0.0000  4 Be 2.37, 4 Hf 2.63
Be: 0.5000 0.5000 0.1203  2 Be 2.37, 2 Hf 2.63
Be: 0.0000 0.0000 0.6203  2 Be 2.37, 2 Hf 2.63
Be: 0.0000 0.0000 0.3797  2 Be 2.37, 2 Hf 2.63

Results
Total moment ... 0.000 Bohr magnetons per cell
Calculated volume ... 15.752 A^3/atom
Density ... 9.883 g cm⁻³
Space-group type ... Immm (71)
E ... -82.3 eV per cell
Energy of formation from the pure elements ... -0.015 eV/atom